(1)
Gd3In4Ir2 | GGA-PBE | relaxed

As for the crystal system: hexagonal. The value obtained for the electronic total energy is -5.38 eV/atom. The total magnetic moment is 0.008 μB/cell.

The space group is P-6 (No. 174) and the conventional cell measures 7.8307, 7.8307 and 3.9239 Å, with angles of 90.00, 90.00 and 120.00 degrees. The distinct sites, in fractional coordinates, are Gd at (0.0814, 0.7154, 0.0000), In at (0.0000, 0.0000, 0.5000), In at (0.4139, 0.0790, 0.5000), Ir at (0.3333, 0.6667, 0.5000) and Ir at (0.6667, 0.3333, 0.0000).

(2)
CoSbPdPt | GGA-PBE | relaxed

As for the crystal system: cubic. The value obtained for the electronic total energy is -5.67 eV/atom. The total magnetic moment is 5.065 μB/cell. The calculation puts the polymorph energy (0 for the lowest one) at 0.000 eV/atom.

The space group is F-43m (No. 216) and the conventional cell measures 6.331, 6.331 and 6.331 Å, with angles of 90.00, 90.00 and 90.00 degrees. The distinct sites, in fractional coordinates, are Co at (0.000, 0.000, 0.000), Sb at (0.250, 0.250, 0.750), Pd at (0.250, 0.250, 0.250) and Pt at (0.000, 0.000, 0.500).

(3)
LuTlCoTe3 | GGA-PBE | relaxed

As for the crystal system: monoclinic. The value obtained for the electronic total energy is -4.49 eV/atom. The total magnetic moment is 3.278 μB/cell. The calculation puts the polymorph energy (0 for the lowest one) at 0.008 eV/atom.

The space group is P2_1/m (No. 11) and the conventional cell measures 9.016, 4.105 and 11.003 Å, with angles of 90.00, 112.58 and 90.00 degrees. The distinct sites, in fractional coordinates, are Lu at (0.190, 0.250, 0.150), Tl at (0.229, 0.750, 0.700), Co at (0.425, 0.750, 0.406), Te at (0.060, 0.250, 0.856), Te at (0.284, 0.250, 0.449) and Te at (0.442, 0.750, 0.177).

Question: Which of these has the lowest total magnetic moment?
Answer: Gd3In4Ir2